VASP calculation (PBE with a Hubbard U) on an optimized crystal structure of CdWF2.

Summary:
Space group: Fm-3m
VASP energy (eV/atom): -3.334
Volume (Å³ per atom): 16.10

Cell: 4.500 4.500 4.500 Å, 60.00 60.00 60.00°
Sites, in units of the cell vectors:
Cd  0.000  0.000  0.000
W  0.500  0.500  0.500
F  0.250  0.250  0.250
F  0.750  0.750  0.750